Below is MnRhCl2 after structural relaxation, with properties calculated at the PBE level.

* ρ: 5.6 g/cm³
* D(E_F): 5.33 states/eV/cell
* energy: -4.63 eV per atom
* energy above the most stable polymorph in this dataset: 2.84 eV/f.u.
* raw formation energy: 0.4265 eV/atom

Cell lengths 4.587, 4.587, 4.587 Å; angles 60.00, 60.00, 60.00 degrees
Atoms (fractional coordinates):
Mn  0.000  0.000  0.000
Rh  0.250  0.250  0.250
Cl  0.500  0.500  0.500
Cl  0.750  0.750  0.750

=====

Below is MnRhCl2 after structural relaxation, with properties calculated at the PBE level.

* ρ: 4.4 g/cm³
* D(E_F): 1.14 states/eV/cell
* energy: -5.34 eV per atom
* energy above the most stable polymorph in this dataset: 0.00 eV/f.u.
* raw formation energy: -0.2838 eV/atom

Cell lengths 3.542, 3.503, 6.999 Å; angles 90.00, 94.68, 90.00 degrees
Atoms (fractional coordinates):
Mn  0.000  0.000  0.000
Rh  0.483  0.500  0.882
Cl  0.302  0.000  0.653
Cl  0.731  0.500  0.210

=====

Below is MnRh3Cl after structural relaxation, with properties calculated at the PBE level.

* ρ: 8.0 g/cm³
* D(E_F): 7.41 states/eV/cell
* energy: -5.40 eV per atom
* energy above the most stable polymorph in this dataset: 0.35 eV/f.u.
* raw formation energy: 1.2151 eV/atom

Cell lengths 4.356, 4.356, 4.356 Å; angles 90.00, 90.00, 90.00 degrees
Atoms (fractional coordinates):
Mn  0.000  0.000  0.000
Rh  0.000  0.500  0.500
Rh  0.500  0.000  0.500
Rh  0.500  0.500  0.000
Cl  0.500  0.500  0.500

=====

Below is Mn2RhCl after structural relaxation, with properties calculated at the PBE level.

* ρ: 6.3 g/cm³
* D(E_F): 1.28 states/eV/cell
* energy: -6.71 eV per atom
* energy above the most stable polymorph in this dataset: 1.26 eV/f.u.
* raw formation energy: 0.1730 eV/atom

Cell lengths 5.413, 5.413, 4.122 Å; angles 90.00, 90.00, 32.85 degrees
Atoms (fractional coordinates):
Mn  0.000  0.000  0.000
Mn  0.678  0.678  0.501
Rh  0.246  0.246  0.001
Cl  0.429  0.429  0.499

=====

Below is Mn2RhCl after structural relaxation, with properties calculated at the PBE level.

* ρ: 6.6 g/cm³
* D(E_F): 3.72 states/eV/cell
* energy: -6.74 eV per atom
* energy above the most stable polymorph in this dataset: 1.16 eV/f.u.
* raw formation energy: 0.1483 eV/atom

Cell lengths 2.989, 2.989, 6.998 Å; angles 90.00, 90.00, 90.00 degrees
Atoms (fractional coordinates):
Mn  0.000  0.000  0.000
Mn  0.500  0.500  0.239
Rh  0.000  0.000  0.427
Cl  0.500  0.500  0.775

=====

Below is MnRhCl2 after structural relaxation, with properties calculated at the PBE level.

* ρ: 5.4 g/cm³
* D(E_F): 3.51 states/eV/cell
* energy: -4.98 eV per atom
* energy above the most stable polymorph in this dataset: 1.42 eV/f.u.
* raw formation energy: 0.0716 eV/atom

Cell lengths 3.143, 3.959, 5.658 Å; angles 90.00, 90.00, 90.00 degrees
Atoms (fractional coordinates):
Mn  0.000  0.000  0.000
Rh  0.500  0.000  0.500
Cl  0.000  0.500  0.500
Cl  0.500  0.500  0.000

=====

Below is MnRhCl2 after structural relaxation, with properties calculated at the PBE level.

* ρ: 4.4 g/cm³
* D(E_F): 1.77 states/eV/cell
* energy: -5.30 eV per atom
* energy above the most stable polymorph in this dataset: 0.15 eV/f.u.
* raw formation energy: -0.2454 eV/atom

Cell lengths 3.757, 3.757, 7.048 Å; angles 90.67, 90.67, 60.01 degrees
Atoms (fractional coordinates):
Mn  0.000  0.000  0.000
Rh  0.664  0.664  0.828
Cl  0.328  0.328  0.641
Cl  0.670  0.670  0.187

=====

Below is Mn2RhCl after structural relaxation, with properties calculated at the PBE level.

* ρ: 8.0 g/cm³
* D(E_F): 2.98 states/eV/cell
* energy: -6.04 eV per atom
* energy above the most stable polymorph in this dataset: 3.96 eV/f.u.
* raw formation energy: 0.8486 eV/atom

Cell lengths 4.178, 4.178, 4.178 Å; angles 60.00, 60.00, 60.00 degrees
Atoms (fractional coordinates):
Mn  0.250  0.250  0.250
Mn  0.750  0.750  0.750
Rh  0.000  0.000  0.000
Cl  0.500  0.500  0.500